Entry 1:
An optimized crystal structure of TmTh2Hg. Source: Alexandria via LeMat-Bulk, functional PBE-GGA.

a b c (Å): 3.5055 3.5055 9.7619
angles (deg): 90.00 90.00 90.00
With the nearest neighbours (Å) after each atom.
Space group P4/mmm (No. 123)
Unique sites:
1 Tm 0.0000 0.0000 0.0000 (multiplicity 1)  4 Tm 3.51, 8 Th 3.58
2 Th 0.5000 0.5000 0.2653 (multiplicity 2)  4 Hg 3.38, 4 Th 3.51, 4 Tm 3.58
3 Hg 0.0000 0.0000 0.5000 (multiplicity 1)  8 Th 3.38, 4 Hg 3.51

Values from the calculation:
Energy of formation in kJ/mol of formula units: -17
Mass density in g cm⁻³: 11.5
Energy above the most stable polymorph in this dataset in kJ/mol of atoms: 2.7


Entry 2:
An optimized crystal structure of TmTh2Hg6. Source: Alexandria via LeMat-Bulk, functional PBE-GGA.

a b c (Å): 8.7420 8.7420 3.3904
angles (deg): 90.00 90.00 120.00
With the nearest neighbours (Å) after each atom.
Space group P6/mmm (No. 191)
Unique sites:
1 Tm 0.0000 0.0000 0.0000 (multiplicity 1)  12 Hg 3.34, 2 Tm 3.39
2 Th 0.3333 0.6667 0.0000 (multiplicity 2)  12 Hg 3.39, 2 Th 3.39
3 Hg 0.0000 0.3290 0.5000 (multiplicity 6)  3 Hg 2.88-2.99

Values from the calculation:
Energy of formation in kJ/mol of formula units: -248
Mass density in g cm⁻³: 13.6


Entry 3:
An optimized crystal structure of TmThHg5. Source: Alexandria via LeMat-Bulk, functional PBE-GGA.

a b c (Å): 6.4394 8.4609 6.9412
angles (deg): 90.00 90.00 90.00
With the nearest neighbours (Å) after each atom.
Space group Cmmm (No. 65)
Unique sites:
1 Tm 0.0000 0.0000 0.0000 (multiplicity 2)  10 Hg 3.18-3.22
2 Th 0.0000 0.5000 0.5000 (multiplicity 2)  10 Hg 3.17-3.47
3 Hg 0.0000 0.5000 0.0000 (multiplicity 2)  8 Hg 3.18, 2 Tm 3.22, 2 Th 3.47
4 Hg 0.2500 0.2500 0.2524 (multiplicity 8)  2 Th 3.17, 2 Tm 3.18, 6 Hg 3.18-3.50

Values from the calculation:
Energy of formation in kJ/mol of formula units: -98
Mass density in g cm⁻³: 12.3


Entry 4:
An optimized crystal structure of TmThHg2. Source: Alexandria via LeMat-Bulk, functional PBE-GGA.

a b c (Å): 3.6201 3.6201 8.0013
angles (deg): 90.00 90.00 90.00
With the nearest neighbours (Å) after each atom.
Space group P4/mmm (No. 123)
Unique sites:
1 Tm 0.0000 0.0000 0.0000 (multiplicity 1)  8 Hg 3.13
2 Th 0.0000 0.0000 0.5000 (multiplicity 1)  8 Hg 3.38, 4 Th 3.62
3 Hg 0.5000 0.5000 0.2251 (multiplicity 2)  4 Tm 3.13, 4 Th 3.38

Values from the calculation:
Energy of formation in kJ/mol of formula units: -133
Mass density in g cm⁻³: 12.7
Energy above the most stable polymorph in this dataset in kJ/mol of atoms: 0.0


Entry 5:
An optimized crystal structure of TmThZnHg. Source: Alexandria via LeMat-Bulk, functional PBE-GGA.

a b c (Å): 7.4009 7.4009 7.4009
angles (deg): 90.00 90.00 90.00
With the nearest neighbours (Å) after each atom.
Space group F-43m (No. 216)
Unique sites:
1 Tm 0.0000 0.0000 0.0000 (multiplicity 4)  4 Zn 3.20, 4 Hg 3.20
2 Th 0.0000 0.0000 0.5000 (multiplicity 4)  4 Hg 3.20, 4 Zn 3.20
3 Zn 0.2500 0.2500 0.7500 (multiplicity 4)  4 Th 3.20, 4 Tm 3.20
4 Hg 0.2500 0.2500 0.2500 (multiplicity 4)  4 Tm 3.20, 4 Th 3.20

Values from the calculation:
Energy of formation in kJ/mol of formula units: -96
Mass density in g cm⁻³: 10.9


Entry 6:
An optimized crystal structure of Th2VHg. Source: Alexandria via LeMat-Bulk, functional PBE-GGA.

a b c (Å): 3.5506 3.5506 8.3385
angles (deg): 90.00 90.00 90.00
With the nearest neighbours (Å) after each atom.
Space group P4/mmm (No. 123)
Unique sites:
1 Th 0.0000 0.0000 0.2219 (multiplicity 2)  4 V 3.12, 4 Hg 3.42
2 V 0.5000 0.5000 0.0000 (multiplicity 1)  8 Th 3.12
3 Hg 0.5000 0.5000 0.5000 (multiplicity 1)  8 Th 3.42, 4 Hg 3.55

Values from the calculation:
Energy of formation in kJ/mol of formula units: 37
Mass density in g cm⁻³: 11.3
Energy above the most stable polymorph in this dataset in kJ/mol of atoms: 0.0


Entry 7:
An optimized crystal structure of Th2VHg. Source: Alexandria via LeMat-Bulk, functional PBE-GGA.

a b c (Å): 3.3242 3.3242 33.4106
angles (deg): 90.00 90.00 120.00
With the nearest neighbours (Å) after each atom.
Space group R-3m (No. 166, hexagonal axes)
Unique sites:
1 Th 0.0000 0.0000 0.0830 (multiplicity 6)  1 V 2.77
2 V 0.0000 0.0000 0.0000 (multiplicity 3)  2 Th 2.77
3 Hg 0.0000 0.0000 0.5000 (multiplicity 3)  6 Hg 3.32, 6 Th 3.39

Values from the calculation:
Energy of formation in kJ/mol of formula units: 203
Mass density in g cm⁻³: 11.1
Energy above the most stable polymorph in this dataset in kJ/mol of atoms: 41.5


Entry 8:
An optimized crystal structure of YThHg. Source: Alexandria via LeMat-Bulk, functional PBE-GGA.

a b c (Å): 5.2581 5.2581 3.7023
angles (deg): 90.00 90.00 120.00
With the nearest neighbours (Å) after each atom.
Space group P3m1 (No. 156)
Unique sites:
1 Y 0.0000 0.0000 0.0000 (multiplicity 1)  3 Hg 3.04
2 Th 0.3333 0.6667 0.5024 (multiplicity 1)  6 Hg 3.54-3.57, 6 Y 3.55-3.56, 2 Th 3.70
3 Hg 0.6667 0.3333 0.0098 (multiplicity 1)  3 Y 3.04

Values from the calculation:
Energy of formation in kJ/mol of formula units: -10
Mass density in g cm⁻³: 9.8
Energy above the most stable polymorph in this dataset in kJ/mol of atoms: 19.8